Material: Ta2ZnCr
Method: DFT, PBE
State: optimized geometry

The structure belongs to space group F-43m (No. 216); the cell edges are 6.3443, 6.3443 and 6.3443 Å and the angles 90.00°, 90.00° and 90.00°. The asymmetric unit holds Ta at (0.0000, 0.0000, 0.0000), Ta at (0.2500, 0.2500, 0.2500), Zn at (0.2500, 0.2500, 0.7500) and Cr at (0.0000, 0.0000, 0.5000).

Its crystal system is cubic. The formation energy is 0.270 eV/atom.



Material: InHg2SbI
Method: DFT, PBE
State: optimized geometry

The structure belongs to space group P4/mmm (No. 123); the cell edges are 5.7764, 5.7764 and 5.8899 Å and the angles 90.00°, 90.00° and 90.00°. The asymmetric unit holds In at (0.0000, 0.0000, 0.0000), Hg at (0.0000, 0.5000, 0.5000), Sb at (0.0000, 0.0000, 0.5000) and I at (0.5000, 0.5000, 0.0000).

Its crystal system is tetragonal. As for the uncorrected formation energy: -22 meV per atom.



Material: KUF6
Method: DFT, PBE
State: optimized geometry

The structure belongs to space group Fm-3m (No. 225); the cell edges are 9.5003, 9.5003 and 9.5003 Å and the angles 90.00°, 90.00° and 90.00°. The asymmetric unit holds K at (0.0000, 0.0000, 0.0000), U at (0.0000, 0.0000, 0.5000) and F at (0.0000, 0.0000, 0.2800).

Its crystal system is cubic. As for the uncorrected formation energy: -3481 meV per atom.



Material: PrGaSn2
Method: DFT, PBE
State: optimized geometry

The structure belongs to space group R-3m (No. 166, hexagonal axes); the cell edges are 5.2705, 5.2705 and 21.9872 Å and the angles 90.00°, 90.00° and 120.00°. The asymmetric unit holds Pr at (0.0000, 0.0000, 0.0000), Ga at (0.0000, 0.0000, 0.5000) and Sn at (0.0000, 0.0000, 0.3807).

Its crystal system is trigonal. The formation energy is 0.257 eV/atom.



Material: HoFe2C
Method: DFT, PBE
State: optimized geometry

The structure belongs to space group Cmcm (No. 63); the cell edges are 3.4276, 17.2239 and 3.5264 Å and the angles 90.00°, 90.00° and 90.00°. The asymmetric unit holds Ho at (0.0000, 0.1148, 0.2500), Fe at (0.0000, 0.2498, 0.7500), Fe at (0.0000, 0.4610, 0.2500) and C at (0.0000, 0.3079, 0.2500).

Its crystal system is orthorhombic. The formation energy is 0.008 eV/atom.



Material: Sr2TmBiO5
Method: DFT, PBE
State: optimized geometry

The structure belongs to space group Cmc2_1 (No. 36); the cell edges are 3.5288, 13.8735 and 12.8534 Å and the angles 90.00°, 90.00° and 90.00°. The asymmetric unit holds Sr at (0.0000, 0.0630, 0.0000), Sr at (0.0000, 0.1668, 0.5932), Tm at (0.0000, 0.2552, 0.3545), Bi at (0.0000, 0.4548, 0.7764), O at (0.0000, 0.0904, 0.3791), O at (0.0000, 0.2420, 0.9803), O at (0.0000, 0.2648, 0.7502), O at (0.0000, 0.4120, 0.3664) and O at (0.0000, 0.4697, 0.1101).

Its crystal system is orthorhombic. As for the uncorrected formation energy: -2513 meV per atom.



Material: NbGaPbO5
Method: DFT, PBE
State: optimized geometry

The structure belongs to space group C2/c (No. 15); the cell edges are 7.1000, 9.4006 and 7.6439 Å and the angles 90.00°, 114.87° and 90.00°. The asymmetric unit holds Nb at (0.0000, 0.0000, 0.0000), Ga at (0.0000, 0.3149, 0.2500), Pb at (0.0000, 0.3265, 0.7500), O at (0.0000, 0.0606, 0.7500), O at (0.0934, 0.2024, 0.1008) and O at (0.2031, 0.4403, 0.4083).

Its crystal system is monoclinic. As for the uncorrected formation energy: -2016 meV per atom.



Material: Er5OsRh
Method: DFT, PBE
State: optimized geometry

The structure belongs to space group C2/c (No. 15); the cell edges are 8.9330, 12.7601 and 6.3556 Å and the angles 90.00°, 97.92° and 90.00°. The asymmetric unit holds Er at (0.0000, 0.1836, 0.2500), Er at (0.1529, 0.4166, 0.6417), Er at (0.1911, 0.1438, 0.8133), Os at (0.0000, 0.4004, 0.2500) and Rh at (0.0000, 0.0000, 0.0000).

Its crystal system is monoclinic. The formation energy is -0.299 eV/atom.



Material: La2Sm6Dy3Tm
Method: DFT, PBE
State: optimized geometry

The structure belongs to space group C2/m (No. 12); the cell edges are 6.2652, 10.8529 and 11.9957 Å and the angles 90.00°, 100.07° and 90.00°. The asymmetric unit holds La at (0.0000, 0.1665, 0.0000), Sm at (0.2468, 0.5000, 0.7456), Sm at (0.2496, 0.1657, 0.7460), Dy at (0.0000, 0.0000, 0.5000), Dy at (0.0000, 0.3338, 0.5000) and Tm at (0.0000, 0.5000, 0.0000).

Its crystal system is monoclinic. The formation energy is 0.020 eV/atom.



Material: CoCuW2
Method: DFT, PBE
State: optimized geometry

The structure belongs to space group P4mm (No. 99); the cell edges are 2.7209, 2.7209 and 7.4419 Å and the angles 90.00°, 90.00° and 90.00°. The asymmetric unit holds Co at (0.0000, 0.0000, 0.0000), Cu at (0.5000, 0.5000, 0.2196), W at (0.0000, 0.0000, 0.4734) and W at (0.5000, 0.5000, 0.7769).

Its crystal system is tetragonal. The formation energy is 0.222 eV/atom.



Material: YPPd2
Method: DFT, PBE
State: optimized geometry

The structure belongs to space group Cmcm (No. 63); the cell edges are 3.9153, 18.4213 and 4.0876 Å and the angles 90.00°, 90.00° and 90.00°. The asymmetric unit holds Y at (0.0000, 0.1099, 0.2500), P at (0.0000, 0.3289, 0.2500), Pd at (0.0000, 0.2471, 0.7500) and Pd at (0.0000, 0.4543, 0.2500).

Its crystal system is orthorhombic. The formation energy is -0.925 eV/atom.



Material: TlRe3F
Method: DFT, PBE
State: optimized geometry

The structure belongs to space group Pm-3m (No. 221); the cell edges are 5.4098, 5.4098 and 5.4098 Å and the angles 90.00°, 90.00° and 90.00°. The asymmetric unit holds Tl at (0.0000, 0.0000, 0.0000), Re at (0.0000, 0.0000, 0.5000) and F at (0.5000, 0.5000, 0.5000).

Its crystal system is cubic. As for the uncorrected formation energy: 3325 meV per atom.



Material: BeRhBr2
Method: DFT, PBE
State: optimized geometry

The structure belongs to space group P4/mmm (No. 123); the cell edges are 3.2460, 3.2460 and 6.6661 Å and the angles 90.00°, 90.00° and 90.00°. The asymmetric unit holds Be at (0.0000, 0.0000, 0.0000), Rh at (0.0000, 0.0000, 0.5000) and Br at (0.5000, 0.5000, 0.2363).

Its crystal system is tetragonal. As for the uncorrected formation energy: 720 meV per atom.



Material: RbTeCl3
Method: DFT, PBE
State: optimized geometry

The structure belongs to space group P2_1/c (No. 14); the cell edges are 7.6341, 6.0717 and 18.3099 Å and the angles 90.00°, 111.72° and 90.00°. The asymmetric unit holds Rb at (0.1473, 0.0857, 0.1601), Te at (0.3764, 0.1164, 0.4280), Cl at (0.0345, 0.0864, 0.3262), Cl at (0.2407, 0.0976, 0.9955) and Cl at (0.4625, 0.6317, 0.8326).

Its crystal system is monoclinic. As for the uncorrected formation energy: -1045 meV per atom.



Material: LuMgCdCu
Method: DFT, PBE
State: optimized geometry

The structure belongs to space group F-43m (No. 216); the cell edges are 6.8519, 6.8519 and 6.8519 Å and the angles 90.00°, 90.00° and 90.00°. The asymmetric unit holds Lu at (0.0000, 0.0000, 0.0000), Mg at (0.0000, 0.0000, 0.5000), Cd at (0.2500, 0.2500, 0.2500) and Cu at (0.2500, 0.2500, 0.7500).

Its crystal system is cubic. The formation energy is -0.202 eV/atom.



Material: K8SbTe2
Method: DFT, PBE
State: optimized geometry

The structure belongs to space group Immm (No. 71); the cell edges are 5.7263, 8.9897 and 17.6480 Å and the angles 90.00°, 90.00° and 90.00°. The asymmetric unit holds K at (0.0000, 0.0000, 0.1544), K at (0.0000, 0.2199, 0.3513), K at (0.0000, 0.2936, 0.0000), Sb at (0.0000, 0.5000, 0.5000) and Te at (0.0000, 0.5000, 0.1967).

Its crystal system is orthorhombic. As for the uncorrected formation energy: -631 meV per atom.



Material: Sr5Zn2
Method: DFT, PBE
State: optimized geometry

The structure belongs to space group C2/c (No. 15); the cell edges are 18.7409, 7.5336 and 8.3731 Å and the angles 90.00°, 97.72° and 90.00°. The asymmetric unit holds Sr at (0.0000, 0.0778, 0.2500), Sr at (0.0926, 0.3971, 0.9210), Sr at (0.2171, 0.0885, 0.3084) and Zn at (0.1109, 0.2005, 0.5808).

Its crystal system is monoclinic. The formation energy is -0.100 eV/atom.



Material: LaTeAu2
Method: DFT, PBE
State: optimized geometry

The structure belongs to space group R3m (No. 160, hexagonal axes); the cell edges are 4.7178, 4.7178 and 16.7593 Å and the angles 90.00°, 90.00° and 120.00°. The asymmetric unit holds La at (0.0000, 0.0000, 0.0000), Te at (0.0000, 0.0000, 0.2192), Au at (0.0000, 0.0000, 0.4651) and Au at (0.0000, 0.0000, 0.7481).

Its crystal system is trigonal. As for the uncorrected formation energy: -731 meV per atom.



Material: Co2NiGeN
Method: DFT, PBE
State: optimized geometry

The structure belongs to space group P4/mmm (No. 123); the cell edges are 3.7753, 3.7753 and 3.8294 Å and the angles 90.00°, 90.00° and 90.00°. The asymmetric unit holds Co at (0.0000, 0.5000, 0.0000), Ni at (0.0000, 0.0000, 0.5000), Ge at (0.5000, 0.5000, 0.5000) and N at (0.0000, 0.0000, 0.0000).

Its crystal system is tetragonal. As for the uncorrected formation energy: 23 meV per atom.



no.,final energy (eV per atom),volume (Å³ per atom)
1,-8.380,15.96
2,-1.825,39.31
3,-6.433,26.80
4,-3.696,44.08
5,-7.674,13.01
6,-6.570,17.48
7,-7.216,14.46
8,-6.213,25.63
9,-4.684,33.46
10,-9.055,13.77
11,-6.490,18.43
12,-4.991,31.67
13,-2.886,17.56
14,-2.975,39.42
15,-2.984,20.11
16,-2.375,41.29
17,-1.665,41.84
18,-4.387,26.92
19,-6.565,10.92